{"formula": "Pm5Y2Tm", "functional": "PBE", "state": "optimized geometry", "cell": [[8.562, -2.339, 5.121], [-3.093, 8.319, 5.121], [1.490, 1.630, 11.354]], "species": ["Pm", "Pm", "Pm", "Pm", "Pm", "Pm", "Pm", "Pm", "Pm", "Pm", "Tm", "Tm", "Y", "Y", "Y", "Y"], "frac_coords": [[0.697, 0.303, 0.091], [0.897, 0.103, 0.940], [0.544, 0.456, 0.750], [0.897, 0.103, 0.559], [0.303, 0.697, 0.591], [0.303, 0.697, 0.909], [0.103, 0.897, 0.060], [0.103, 0.897, 0.440], [0.456, 0.544, 0.250], [0.697, 0.303, 0.409], [0.096, 0.904, 0.750], [0.904, 0.096, 0.250], [0.500, 0.500, 0.000], [0.500, 0.500, 0.500], [0.000, 0.500, 0.500], [0.500, 0.000, 0.000]], "dos_ef_per_ev_atom": 1.655, "dft_energy_ev_per_atom": -4.886, "formation_energy_ev_per_atom": 0.258, "relative_energy_mev_per_atom": 241.4, "mass_density_g_cm3": 6.5, "magnetic_moment_mub_per_fu": 0.0}